--- w ---
The following is a PBE calculation of a geometry-optimized Tl4I3Cl structure, from the Alexandria database.

a b c (Å): 8.5049 8.5261 9.8443
angles (deg): 90.00 90.00 109.54
Positions (direct):
Cl 0.2500 0.0000 0.1202
I 0.7500 0.0000 0.3737
Tl 0.0043 0.2290 0.1149
Tl 0.4957 0.7710 0.1149
I 0.2500 0.5000 0.3755
Tl 0.5043 0.2290 0.8851
Tl 0.4868 0.2421 0.3634
Cl 0.7500 0.0000 0.8798
I 0.7500 0.5000 0.6245
I 0.7500 0.5000 0.1243
Tl 0.5132 0.7579 0.6366
Tl 0.9868 0.2421 0.6366
I 0.2500 0.0000 0.6263
I 0.2500 0.5000 0.8757
Tl 0.9957 0.7710 0.8851
Tl 0.0132 0.7579 0.3634

Properties
The density is 6.090 g/cm3. Its symmetry is P2/c.

=====

--- x ---
The following is a PBE calculation of a geometry-optimized Tl4I3Cl structure, from the Alexandria database.

a b c (Å): 7.0014 10.2493 11.5705
angles (deg): 90.00 90.00 90.00
Positions (direct):
Tl 0.5905 0.1720 0.0000
Tl 0.0654 0.3247 0.2348
Cl 0.5311 0.8281 0.5000
Tl 0.5654 0.6753 0.7348
Tl 0.5654 0.6753 0.2652
Cl 0.0311 0.1719 0.0000
Tl 0.0649 0.8607 0.0000
I 0.5663 0.3371 0.2596
Tl 0.5649 0.1393 0.5000
Tl 0.0654 0.3247 0.7652
I 0.5663 0.3371 0.7404
I 0.0663 0.6629 0.7596
I 0.0663 0.6629 0.2404
I 0.5655 0.8361 0.0000
I 0.0655 0.1639 0.5000
Tl 0.0905 0.8280 0.5000

Properties
The density is 4.935 g/cm3. Its symmetry is Pmn2_1.

=====

Of them, the most stable is w and the least stable is x.

=====

--- w ---
The following is a PBE calculation of a geometry-optimized Tl2ICl2 structure, from the Alexandria database.

a b c (Å): 4.7948 4.7948 8.1786
angles (deg): 72.95 72.95 90.00
Positions (direct):
Cl 0.2500 0.7500 0.5000
Cl 0.7500 0.2500 0.5000
Tl 0.3675 0.3675 0.2651
I 0.0000 0.0000 0.0000
Tl 0.6325 0.6325 0.7349

Properties
The density is 5.887 g/cm3. Its symmetry is I4/mmm.

=====

--- x ---
The following is a PBE calculation of a geometry-optimized Tl2ICl2 structure, from the Alexandria database.

a b c (Å): 6.4035 6.4035 6.4035
angles (deg): 122.16 122.16 86.30
Positions (direct):
Tl 0.7500 0.2500 0.5000
Cl 0.8372 0.8372 0.0000
I 0.5000 0.5000 0.0000
Cl 0.1628 0.1628 0.0000
Tl 0.2500 0.7500 0.5000

Properties
The density is 5.620 g/cm3. Its symmetry is I4/mmm.

=====

Of them, the most stable is x and the least stable is w.

=====

--- w ---
The following is a PBE calculation of a geometry-optimized TmI2Cl structure, from the Alexandria database.

a b c (Å): 4.2811 5.2070 8.6340
angles (deg): 89.10 75.86 90.00
Positions (direct):
I 0.3750 0.9934 0.2531
Tm 0.9998 0.0000 0.0000
Cl 0.0004 0.5000 0.0000
I 0.6248 0.0066 0.7469

Properties
The density is 4.077 g/cm3. Its symmetry is P-1.

=====

--- x ---
The following is a PBE calculation of a geometry-optimized TmI2Cl structure, from the Alexandria database.

a b c (Å): 3.8229 7.5834 7.5835
angles (deg): 60.64 75.38 75.38
Positions (direct):
I 0.4097 0.5762 0.6050
Tm 0.7500 0.8941 0.6059
I 0.0903 0.8950 0.9238
Cl 0.2500 0.1348 0.3652

Properties
The density is 4.152 g/cm3. Its symmetry is Imm2.

=====

Of them, the most stable is w and the least stable is x.

=====

--- w ---
The following is a PBE calculation of a geometry-optimized TmICl structure, from the Alexandria database.

a b c (Å): 6.7933 6.7933 7.6136
angles (deg): 90.00 90.00 120.00
Positions (direct):
Cl 0.0526 0.7200 0.4445
Tm 0.4692 0.1357 0.9443
I 0.6662 0.0006 0.2778
I 0.9994 0.6656 0.9445
Cl 0.6674 0.9474 0.7779
Cl 0.2800 0.3326 0.1112
I 0.3344 0.3338 0.6112
Tm 0.8643 0.3335 0.6109
Tm 0.6665 0.5308 0.2776

Properties
The density is 5.424 g/cm3. Its symmetry is P3_2.

=====

--- x ---
The following is a PBE calculation of a geometry-optimized TmICl structure, from the Alexandria database.

a b c (Å): 3.8875 6.7161 9.3911
angles (deg): 63.26 78.77 89.99
Positions (direct):
Cl 0.3272 0.0220 0.3363
Cl 0.6728 0.9780 0.6637
I 0.8794 0.5815 0.2239
Tm 0.7488 0.7125 0.5032
I 0.1206 0.4185 0.7761
Tm 0.2512 0.2875 0.4968

Properties
The density is 5.149 g/cm3. Its symmetry is P-1.

=====

--- y ---
The following is a PBE calculation of a geometry-optimized TmICl structure, from the Alexandria database.

a b c (Å): 3.8943 3.8943 7.5820
angles (deg): 90.00 90.00 120.00
Positions (direct):
Tm 0.6667 0.3333 0.3519
Cl 0.3333 0.6667 0.5586
I 0.0000 0.0000 0.0895

Properties
The density is 5.524 g/cm3. Its symmetry is P3m1.

=====

Of them, the most stable is x and the least stable is w.

=====

--- w ---
The following is a PBE calculation of a geometry-optimized VICl3 structure, from the Alexandria database.

a b c (Å): 6.1055 8.4821 8.0655
angles (deg): 90.00 89.31 90.00
Positions (direct):
I 0.4750 0.2500 0.5116
I 0.5250 0.7500 0.4884
Cl 0.0297 0.4584 0.7534
Cl 0.9703 0.9584 0.2466
V 0.2294 0.2500 0.7622
Cl 0.5702 0.7500 0.0206
Cl 0.9703 0.5416 0.2466
V 0.7706 0.7500 0.2378
Cl 0.4298 0.2500 0.9794
Cl 0.0297 0.0416 0.7534

Properties
The density is 2.260 g/cm3. Its symmetry is P2_1/m.

=====

--- x ---
The following is a PBE calculation of a geometry-optimized VICl3 structure, from the Alexandria database.

a b c (Å): 4.9216 4.9216 4.9216
angles (deg): 90.00 90.00 90.00
Positions (direct):
Cl 0.0000 0.5000 0.0000
Cl 0.5000 0.0000 0.0000
Cl 0.0000 0.0000 0.5000
V 0.0000 0.0000 0.0000
I 0.5000 0.5000 0.5000

Properties
The density is 3.959 g/cm3. Its symmetry is Pm-3m.

=====

Of them, the most stable is w and the least stable is x.

=====

--- w ---
The following is a PBE calculation of a geometry-optimized VICl3 structure, from the Alexandria database.

a b c (Å): 5.5564 5.5564 5.5564
angles (deg): 90.00 90.00 90.00
Positions (direct):
I 0.0000 0.0000 0.0000
V 0.5000 0.5000 0.5000
Cl 0.0000 0.0000 0.5000
Cl 0.5000 0.0000 0.0000
Cl 0.0000 0.5000 0.0000

Properties
The density is 2.751 g/cm3. Its symmetry is Pm-3m.

=====

--- x ---
The following is a PBE calculation of a geometry-optimized VICl3 structure, from the Alexandria database.

a b c (Å): 3.3562 9.3927 9.9768
angles (deg): 90.00 90.00 90.03
Positions (direct):
V 0.5002 0.8140 0.2500
Cl 0.9999 0.2099 0.5850
Cl 0.0001 0.7901 0.0850
I 0.5003 0.5018 0.7500
Cl 0.5004 0.0470 0.2500
Cl 0.9999 0.2099 0.9150
V 0.4998 0.1860 0.7500
I 0.4997 0.4982 0.2500
Cl 0.0001 0.7901 0.4150
Cl 0.4996 0.9530 0.7500

Properties
The density is 3.001 g/cm3. Its symmetry is Pmma.

=====

Of them, the most stable is x and the least stable is w.

=====

--- w ---
The following is a PBE calculation of a geometry-optimized VI2Cl structure, from the Alexandria database.

a b c (Å): 6.2632 7.0572 11.1226
angles (deg): 90.00 90.00 90.00
Positions (direct):
V 0.5000 0.2500 0.8998
I 0.7635 0.9230 0.5787
I 0.7365 0.4230 0.0787
Cl 0.7500 0.3687 0.7500
V 0.0000 0.7500 0.3998
Cl 0.2500 0.6313 0.2500
V 0.5000 0.7500 0.1002
I 0.2365 0.0770 0.4213
I 0.2635 0.0770 0.0787
I 0.2365 0.5770 0.5787
I 0.2635 0.5770 0.9213
V 0.0000 0.2500 0.6002
Cl 0.7500 0.8687 0.2500
I 0.7365 0.9230 0.9213
Cl 0.2500 0.1313 0.7500
I 0.7635 0.4230 0.4213

Properties
The density is 4.596 g/cm3. Its symmetry is Pnna.

=====

--- x ---
The following is a PBE calculation of a geometry-optimized VI2Cl structure, from the Alexandria database.

a b c (Å): 10.2900 10.2900 7.6602
angles (deg): 47.80 47.80 90.00
Positions (direct):
I 0.7779 0.1250 0.2500
I 0.8750 0.0279 0.7500
Cl 0.2500 0.7500 0.5000
I 0.9721 0.6250 0.2500
Cl 0.5000 0.5000 0.0000
V 0.0000 0.0000 0.0000
V 0.7500 0.2500 0.5000
I 0.3750 0.2221 0.7500

Properties
The density is 4.455 g/cm3. Its symmetry is I-42d.

=====

Of them, the most stable is w and the least stable is x.

=====

--- w ---
The following is a PBE calculation of a geometry-optimized V3ICl structure, from the Alexandria database.

a b c (Å): 5.2982 5.2982 5.2982
angles (deg): 90.00 90.00 90.00
Positions (direct):
I 0.0000 0.0000 0.0000
Cl 0.5000 0.5000 0.5000
V 0.5000 0.0000 0.0000
V 0.0000 0.0000 0.5000
V 0.0000 0.5000 0.0000

Properties
The density is 3.519 g/cm3. Its symmetry is Pm-3m.

=====

--- x ---
The following is a PBE calculation of a geometry-optimized V3ICl structure, from the Alexandria database.

a b c (Å): 4.3993 4.3993 4.3993
angles (deg): 90.00 90.00 90.00
Positions (direct):
I 0.5000 0.5000 0.5000
V 0.5000 0.0000 0.0000
V 0.0000 0.5000 0.0000
Cl 0.0000 0.0000 0.0000
V 0.0000 0.0000 0.5000

Properties
The density is 6.147 g/cm3. Its symmetry is Pm-3m.

=====

Of them, the most stable is x and the least stable is w.